[1]
DFT (PBE) results for a geometry-optimized AgPBr3 structure.

The structure belongs to space group P-1 (No. 2); the cell edges are 4.9418, 7.7236 and 10.3628 Å and the angles 111.45°, 90.44° and 90.71°. The distinct sites, in fractional coordinates, are Ag at (0.2415, 0.4980, 0.4093), P at (0.2314, 0.0143, 0.0090), Br at (0.2386, 0.0803, 0.2408), Br at (0.2405, 0.2977, 0.9952) and Br at (0.2570, 0.3909, 0.6386).

As for the formation energy (no corrections): -1.3 eV per formula unit. The total magnetization comes out at 0.00 μB per formula unit. The density of states at the Fermi level comes out at 0.000 states/eV/atom.

[2]
DFT (PBE) results for a geometry-optimized UGaH2 structure.

The structure belongs to space group R-3m (No. 166, hexagonal axes); the cell edges are 2.9418, 2.9418 and 20.3945 Å and the angles 90.00°, 90.00° and 120.00°. The distinct sites, in fractional coordinates, are U at (0.0000, 0.0000, 0.0000), Ga at (0.0000, 0.0000, 0.5000) and H at (0.0000, 0.0000, 0.4026).

The electronic total energy comes out at -20.64 eV per formula unit. The total magnetization comes out at 0.00 μB per formula unit. The density of states at the Fermi level comes out at 1.147 states/eV/atom.

[3]
DFT (PBE) results for a geometry-optimized InAsRuCl structure.

The structure belongs to space group Cm (No. 8); the cell edges are 6.5850, 3.4265 and 8.3588 Å and the angles 90.00°, 102.80° and 90.00°. The distinct sites, in fractional coordinates, are In at (0.0000, 0.0000, 0.0000), As at (0.4612, 0.0000, 0.3777), Ru at (0.2361, 0.5000, 0.2385) and Cl at (0.2859, 0.0000, 0.7741).

As for the formation energy (no corrections): -1.2 eV per formula unit. The total magnetization comes out at 0.00 μB per formula unit. The density of states at the Fermi level comes out at 0.497 states/eV/atom.

[4]
DFT (PBE) results for a geometry-optimized Pu3In structure.

The structure belongs to space group Fm-3m (No. 225); the cell edges are 7.5198, 7.5198 and 7.5198 Å and the angles 90.00°, 90.00° and 90.00°. The distinct sites, in fractional coordinates, are Pu at (0.0000, 0.0000, 0.0000), Pu at (0.2500, 0.2500, 0.2500) and In at (0.0000, 0.0000, 0.5000).

The electronic total energy comes out at -45.54 eV per formula unit. The total magnetization comes out at 18.73 μB per formula unit. The density of states at the Fermi level comes out at 4.627 states/eV/atom.

[5]
DFT (PBE) results for a geometry-optimized NaCd2Pb2 structure.

The structure belongs to space group P4/mbm (No. 127); the cell edges are 8.9229, 8.9229 and 3.6833 Å and the angles 90.00°, 90.00° and 90.00°. The distinct sites, in fractional coordinates, are Na at (0.0000, 0.0000, 0.0000), Cd at (0.1574, 0.3426, 0.5000) and Pb at (0.1395, 0.6395, 0.0000).

The electronic total energy comes out at -10.54 eV per formula unit. The total magnetization comes out at 0.00 μB per formula unit. The density of states at the Fermi level comes out at 0.340 states/eV/atom.

[6]
DFT (PBE) results for a geometry-optimized KAlH4 structure.

The structure belongs to space group Pnma (No. 62); the cell edges are 8.6784, 5.6551 and 7.1928 Å and the angles 90.00°, 90.00° and 90.00°. The distinct sites, in fractional coordinates, are K at (0.1740, 0.2500, 0.1647), Al at (0.0718, 0.2500, 0.6809), H at (0.0824, 0.0175, 0.8152), H at (0.0915, 0.7500, 0.4307) and H at (0.2192, 0.2500, 0.5409).

The electronic total energy comes out at -19.57 eV per formula unit. The total magnetization comes out at 0.00 μB per formula unit. The density of states at the Fermi level comes out at 0.000 states/eV/atom.